# La3Al5F12

An optimized crystal structure of La3Al5F12 (PBE-GGA, Alexandria).

Cell lengths 12.356, 12.356, 12.356 Å; angles 109.47, 109.47, 109.47 degrees
Sites, in units of the cell vectors:
La (0.125, 0.250, 0.375)
La (0.125, 0.375, 0.750)
La (0.250, 0.375, 0.125)
La (0.250, 0.875, 0.625)
La (0.375, 0.125, 0.250)
La (0.375, 0.750, 0.125)
La (0.625, 0.250, 0.875)
La (0.625, 0.875, 0.750)
La (0.750, 0.125, 0.375)
La (0.750, 0.625, 0.875)
La (0.875, 0.625, 0.250)
La (0.875, 0.750, 0.625)
Al (0.000, 0.000, 0.000)
Al (0.000, 0.000, 0.500)
Al (0.000, 0.500, 0.000)
Al (0.000, 0.500, 0.500)
Al (0.125, 0.750, 0.875)
Al (0.125, 0.875, 0.250)
Al (0.250, 0.125, 0.875)
Al (0.250, 0.625, 0.375)
Al (0.375, 0.250, 0.625)
Al (0.375, 0.625, 0.750)
Al (0.500, 0.000, 0.000)
Al (0.500, 0.000, 0.500)
Al (0.500, 0.500, 0.000)
Al (0.500, 0.500, 0.500)
Al (0.625, 0.375, 0.250)
Al (0.625, 0.750, 0.375)
Al (0.750, 0.375, 0.625)
Al (0.750, 0.875, 0.125)
Al (0.875, 0.125, 0.750)
Al (0.875, 0.250, 0.125)
F (0.071, 0.232, 0.148)
F (0.071, 0.339, 0.923)
F (0.077, 0.648, 0.416)
F (0.077, 0.929, 0.661)
F (0.084, 0.732, 0.661)
F (0.084, 0.852, 0.423)
F (0.148, 0.071, 0.232)
F (0.148, 0.577, 0.916)
F (0.161, 0.232, 0.584)
F (0.161, 0.429, 0.577)
F (0.232, 0.148, 0.071)
F (0.232, 0.584, 0.161)
F (0.268, 0.339, 0.916)
F (0.268, 0.429, 0.352)
F (0.339, 0.916, 0.268)
F (0.339, 0.923, 0.071)
F (0.352, 0.268, 0.429)
F (0.352, 0.584, 0.923)
F (0.416, 0.077, 0.648)
F (0.416, 0.839, 0.768)
F (0.423, 0.084, 0.852)
F (0.423, 0.839, 0.571)
F (0.429, 0.352, 0.268)
F (0.429, 0.577, 0.161)
F (0.571, 0.423, 0.839)
F (0.571, 0.648, 0.732)
F (0.577, 0.161, 0.429)
F (0.577, 0.916, 0.148)
F (0.584, 0.161, 0.232)
F (0.584, 0.923, 0.352)
F (0.648, 0.416, 0.077)
F (0.648, 0.732, 0.571)
F (0.661, 0.077, 0.929)
F (0.661, 0.084, 0.732)
F (0.732, 0.571, 0.648)
F (0.732, 0.661, 0.084)
F (0.768, 0.416, 0.839)
F (0.768, 0.852, 0.929)
F (0.839, 0.571, 0.423)
F (0.839, 0.768, 0.416)
F (0.852, 0.423, 0.084)
F (0.852, 0.929, 0.768)
F (0.916, 0.148, 0.577)
F (0.916, 0.268, 0.339)
F (0.923, 0.071, 0.339)
F (0.923, 0.352, 0.584)
F (0.929, 0.661, 0.077)
F (0.929, 0.768, 0.852)

Density = 3.57 g/cm3
ΔE_f (raw) = -2.41 eV per atom
M_tot = 1.9 μB/cell
Calculated total energy = -5.21 eV per atom